DFT (PBE with a Hubbard U) results for Ca2VPO6 after structural relaxation.

Cell lengths 5.0891, 5.0891, 4.3253 Å; angles 90.00, 90.00, 90.00 degrees
Last column: nearest neighbours and their distance in Å.
Space group P4mm (No. 99)
Inequivalent atoms, fractional coordinates:
Ca1 0.0000 0.5000 0.0000  8 O 2.47-2.63
V1 0.0000 0.0000 0.5599  5 O 1.99-2.08
P1 0.5000 0.5000 0.5163  5 O 1.57-1.67
O1 0.0000 0.0000 0.0781  2 V 2.08-2.24
O2 0.2751 0.2751 0.6121  1 P 1.67
O3 0.5000 0.5000 0.1533  1 P 1.57

Properties
Magnetization: 2.00 μB per cell
Raw total energy: -7.1172 eV/atom